1.
Here is a relaxed CaCuAg3 crystal from the Alexandria database. Energies are from GGA-PBE.

Calculated values
D(E_F) in states/eV/cell: 2.07
Polymorph energy (0 for the lowest one) in eV per formula unit: 0.000
Energy relative to the elements in eV per formula unit: 0.56

Cell lengths 4.8867, 4.8867, 4.8867 Å; angles 90.00, 90.00, 90.00 degrees
Sites, in units of the cell vectors:
Ca  0.5000  0.5000  0.5000
Cu  0.0000  0.0000  0.0000
Ag  0.0000  0.5000  0.0000
Ag  0.0000  0.0000  0.5000
Ag  0.5000  0.0000  0.0000

2.
Here is a relaxed CaCuAg crystal from the Alexandria database. Energies are from GGA-PBE.

Calculated values
D(E_F) in states/eV/cell: 1.31
Polymorph energy (0 for the lowest one) in eV per formula unit: 0.103
Energy relative to the elements in eV per formula unit: -0.50

Cell lengths 4.5244, 4.5244, 3.7149 Å; angles 90.00, 90.00, 120.00 degrees
Sites, in units of the cell vectors:
Ca  0.6667  0.3333  0.3333
Cu  0.3333  0.6667  0.8335
Ag  0.0000  0.0000  0.8332

3.
Here is a relaxed Ca6CuAg3 crystal from the Alexandria database. Energies are from GGA-PBE.

Calculated values
D(E_F) in states/eV/cell: 13.69
Energy relative to the elements in eV per formula unit: -1.78

Cell lengths 4.2828, 11.2573, 13.4653 Å; angles 110.71, 90.00, 90.00 degrees
Sites, in units of the cell vectors:
Ca  0.7500  0.4802  0.6195
Ca  0.2500  0.5198  0.3805
Ca  0.7500  0.8465  0.1071
Ca  0.2500  0.1535  0.8929
Ca  0.7500  0.4229  0.0966
Ca  0.2500  0.5771  0.9034
Ca  0.7500  0.7553  0.3287
Ca  0.2500  0.2447  0.6713
Ca  0.7500  0.0947  0.4239
Ca  0.2500  0.9053  0.5761
Ca  0.7500  0.8425  0.7921
Ca  0.2500  0.1575  0.2079
Cu  0.7500  0.0837  0.7151
Cu  0.2500  0.9163  0.2849
Ag  0.7500  0.3485  0.8425
Ag  0.2500  0.6515  0.1575
Ag  0.7500  0.6961  0.5366
Ag  0.2500  0.3039  0.4634
Ag  0.7500  0.0929  0.0326
Ag  0.2500  0.9071  0.9674

4.
Here is a relaxed CaCu5Ag crystal from the Alexandria database. Energies are from GGA-PBE.

Calculated values
D(E_F) in states/eV/cell: 9.21
Energy relative to the elements in eV per formula unit: -0.65

Cell lengths 4.9715, 8.3269, 10.5091 Å; angles 90.00, 90.00, 90.00 degrees
Sites, in units of the cell vectors:
Ca  0.2500  0.2408  0.9362
Ca  0.7500  0.2592  0.4362
Ca  0.2500  0.7408  0.5638
Ca  0.7500  0.7592  0.0638
Cu  0.2500  0.5835  0.0160
Cu  0.7500  0.9165  0.5160
Cu  0.2500  0.0835  0.4840
Cu  0.7500  0.4165  0.9840
Cu  0.7500  0.3117  0.7595
Cu  0.2500  0.1883  0.2595
Cu  0.7500  0.8117  0.7405
Cu  0.2500  0.6883  0.2405
Cu  0.2500  0.9504  0.1070
Cu  0.7500  0.5496  0.6070
Cu  0.2500  0.4504  0.3930
Cu  0.7500  0.0496  0.8930
Cu  0.9984  0.4334  0.1876
Cu  0.0016  0.0666  0.6876
Cu  0.5016  0.9334  0.3124
Cu  0.4984  0.5666  0.8124
Cu  0.0016  0.5666  0.8124
Cu  0.9984  0.9334  0.3124
Cu  0.4984  0.0666  0.6876
Cu  0.5016  0.4334  0.1876
Ag  0.2500  0.8593  0.8639
Ag  0.7500  0.6407  0.3639
Ag  0.2500  0.3593  0.6361
Ag  0.7500  0.1407  0.1361

5.
Here is a relaxed Ca2Cu2Ag crystal from the Alexandria database. Energies are from GGA-PBE.

Calculated values
D(E_F) in states/eV/cell: 1.96
Polymorph energy (0 for the lowest one) in eV per formula unit: 0.515
Energy relative to the elements in eV per formula unit: -0.41

Cell lengths 3.5420, 3.5420, 9.1994 Å; angles 78.90, 78.90, 90.00 degrees
Sites, in units of the cell vectors:
Ca  0.3884  0.3884  0.2233
Ca  0.6116  0.6116  0.7767
Cu  0.7500  0.2500  0.5000
Cu  0.2500  0.7500  0.5000
Ag  0.0000  0.0000  0.0000

6.
Here is a relaxed CaCuAg crystal from the Alexandria database. Energies are from GGA-PBE.

Calculated values
D(E_F) in states/eV/cell: 5.51
Polymorph energy (0 for the lowest one) in eV per formula unit: 0.000
Energy relative to the elements in eV per formula unit: -0.60

Cell lengths 5.5992, 6.2006, 7.9197 Å; angles 112.17, 90.00, 90.00 degrees
Sites, in units of the cell vectors:
Ca  0.8841  0.3070  0.1241
Ca  0.3841  0.6930  0.3759
Ca  0.1159  0.6930  0.8759
Ca  0.6159  0.3070  0.6241
Cu  0.1139  0.3228  0.4757
Cu  0.6139  0.6772  0.0243
Cu  0.8861  0.6772  0.5243
Cu  0.3861  0.3228  0.9757
Ag  0.9032  0.9067  0.2971
Ag  0.4032  0.0933  0.2029
Ag  0.0968  0.0933  0.7029
Ag  0.5968  0.9067  0.7971

Which of these has the highest energy relative to the elements? CaCuAg3